i.
TiSiTc | PBE | relaxed

a = 6.8009 Å, b = 6.4662 Å, c = 7.5295 Å
α = 115.43°, β = 116.85°, γ = 90.00°
Closest atoms and distances in Å follow each position.
Element x y z (fractional)
Tc  0.0152  0.5000  0.0000  4 Si 2.41-2.54
Tc  0.0152  0.0000  0.0000  4 Si 2.41-2.54
Tc  0.7533  0.1310  0.2619  4 Si 2.41-2.54
Tc  0.4914  0.8690  0.7381  4 Si 2.41-2.54
Tc  0.7533  0.6309  0.2619  4 Si 2.41-2.54
Tc  0.4914  0.3691  0.7381  4 Si 2.41-2.54
Si  0.0867  0.8333  0.6667  3 Tc 2.54, 6 Ti 2.63
Si  0.7533  0.2500  0.0000  6 Tc 2.41
Si  0.0867  0.3334  0.6667  3 Tc 2.54, 6 Ti 2.63
Si  0.7533  0.7500  0.0000  6 Tc 2.41
Si  0.4200  0.6666  0.3333  3 Tc 2.54, 6 Ti 2.63
Si  0.4200  0.1667  0.3333  3 Tc 2.54, 6 Ti 2.63
Ti  0.3506  0.2500  0.9999  5 Si 2.63-2.74, 6 Tc 2.80-2.90
Ti  0.3507  0.7500  0.0001  5 Si 2.63-2.74, 6 Tc 2.80-2.90
Ti  0.7533  0.0487  0.5974  5 Si 2.63-2.74, 6 Tc 2.80-2.90
Ti  0.1559  0.4513  0.4026  5 Si 2.63-2.74, 6 Tc 2.80-2.90
Ti  0.1560  0.9513  0.4026  5 Si 2.63-2.74, 6 Tc 2.80-2.90
Ti  0.7533  0.5487  0.5974  5 Si 2.63-2.74, 6 Tc 2.80-2.90



ii.
TiSiTc | PBE | relaxed

a = 3.2509 Å, b = 6.7494 Å, c = 11.8806 Å
α = 90.00°, β = 90.00°, γ = 90.00°
Closest atoms and distances in Å follow each position.
Element x y z (fractional)
Tc  0.5000  0.4255  0.1179  3 Si 2.42-2.49
Tc  0.5000  0.4255  0.3821  3 Si 2.42-2.49
Tc  0.5000  0.8150  0.2500  4 Si 2.41-2.48
Tc  0.5000  0.1850  0.7500  4 Si 2.41-2.48
Tc  0.5000  0.5745  0.6179  3 Si 2.42-2.49
Tc  0.5000  0.5745  0.8821  3 Si 2.42-2.49
Si  0.5000  0.9415  0.5937  1 Si 2.36, 2 Tc 2.48-2.49, 2 Ti 2.56
Si  0.5000  0.0585  0.4063  1 Si 2.36, 2 Tc 2.48-2.49, 2 Ti 2.56
Si  0.5000  0.0585  0.0937  1 Si 2.36, 2 Tc 2.48-2.49, 2 Ti 2.56
Si  0.0000  0.4480  0.7500  6 Tc 2.41-2.42, 1 Ti 2.63
Si  0.0000  0.5520  0.2500  6 Tc 2.41-2.42, 1 Ti 2.63
Si  0.5000  0.9415  0.9063  1 Si 2.36, 2 Tc 2.48-2.49, 2 Ti 2.56
Ti  0.0000  0.8377  0.7500  5 Si 2.56-2.63, 2 Tc 2.85
Ti  0.0000  0.1623  0.2500  5 Si 2.56-2.63, 2 Tc 2.85
Ti  0.0000  0.2544  0.9533  5 Si 2.68-2.75, 6 Tc 2.79-2.95
Ti  0.0000  0.2544  0.5467  5 Si 2.68-2.75, 6 Tc 2.79-2.95
Ti  0.0000  0.7456  0.4533  5 Si 2.68-2.75, 6 Tc 2.79-2.95
Ti  0.0000  0.7456  0.0467  5 Si 2.68-2.75, 6 Tc 2.79-2.95



Most favorable first, least favorable last: i, ii



i.
TiSi2Tc | PBE | relaxed

a = 4.2903 Å, b = 4.2903 Å, c = 4.2903 Å
α = 60.00°, β = 60.00°, γ = 60.00°
Closest atoms and distances in Å follow each position.
Element x y z (fractional)
Ti  0.0000  0.0000  0.0000  8 Si 2.63
Tc  0.5000  0.5000  0.5000  8 Si 2.63
Si  0.2500  0.2500  0.2500  4 Tc 2.63, 4 Ti 2.63
Si  0.7500  0.7500  0.7500  4 Tc 2.63, 4 Ti 2.63



ii.
TiSi2Tc | PBE | relaxed

a = 3.6710 Å, b = 3.6710 Å, c = 9.3893 Å
α = 78.73°, β = 78.73°, γ = 90.00°
Closest atoms and distances in Å follow each position.
Element x y z (fractional)
Ti  0.5000  0.5000  0.0000  4 Si 2.59, 4 Tc 2.60
Ti  0.2500  0.7500  0.5000  4 Si 2.59, 4 Tc 2.60
Si  0.1325  0.6250  0.2500  4 Si 2.56-2.63, 2 Ti 2.59, 2 Tc 2.61
Si  0.8750  0.8675  0.7500  4 Si 2.56-2.63, 2 Ti 2.59, 2 Tc 2.61
Si  0.3750  0.3825  0.7500  4 Si 2.56-2.63, 2 Ti 2.59, 2 Tc 2.61
Si  0.6175  0.1250  0.2500  4 Si 2.56-2.63, 2 Ti 2.59, 2 Tc 2.61
Tc  0.0000  0.0000  0.0000  4 Ti 2.60, 4 Si 2.61
Tc  0.7500  0.2500  0.5000  4 Ti 2.60, 4 Si 2.61



Most favorable first, least favorable last: i, ii



i.
Tl2SiTc | PBE | relaxed

a = 4.8800 Å, b = 4.8800 Å, c = 4.8800 Å
α = 60.00°, β = 60.00°, γ = 60.00°
Closest atoms and distances in Å follow each position.
Element x y z (fractional)
Si  0.0000  0.0000  0.0000  8 Tl 2.99
Tl  0.7500  0.7500  0.7500  4 Si 2.99, 4 Tc 2.99
Tl  0.2500  0.2500  0.2500  4 Tc 2.99, 4 Si 2.99
Tc  0.5000  0.5000  0.5000  8 Tl 2.99



ii.
Tl2SiTc | PBE | relaxed

a = 4.8429 Å, b = 3.7297 Å, c = 5.9427 Å
α = 55.67°, β = 90.00°, γ = 90.00°
Closest atoms and distances in Å follow each position.
Element x y z (fractional)
Tl  0.0000  0.8023  0.9904  2 Tc 2.87, 3 Tl 2.88-3.09, 2 Si 2.98
Tl  0.0000  0.6977  0.5096  2 Tc 2.87, 3 Tl 2.88-3.09, 2 Si 2.98
Si  0.5000  0.2500  0.2500  2 Tc 2.46
Tc  0.5000  0.7500  0.7500  2 Si 2.46



Most favorable first, least favorable last: ii, i



i.
Tl2SiTc | PBE | relaxed

a = 3.2254 Å, b = 3.2254 Å, c = 8.5671 Å
α = 90.00°, β = 90.00°, γ = 90.00°
Closest atoms and distances in Å follow each position.
Element x y z (fractional)
Tl  0.0000  0.0000  0.9387  1 Si 3.06, 4 Tc 3.18, 4 Tl 3.23
Tl  0.5000  0.5000  0.2999  4 Tl 3.23, 1 Tc 3.26, 4 Si 3.32
Si  0.0000  0.0000  0.5811  4 Tc 2.43
Tc  0.5000  0.5000  0.6802  4 Si 2.43



ii.
Tl2SiTc | PBE | relaxed

a = 8.2654 Å, b = 8.2654 Å, c = 3.9211 Å
α = 76.32°, β = 76.32°, γ = 20.82°
Closest atoms and distances in Å follow each position.
Element x y z (fractional)
Tl  0.5786  0.5786  0.4218  2 Tl 2.99, 2 Tc 3.09, 2 Si 3.34
Tl  0.9214  0.9214  0.0782  2 Tl 2.99, 2 Tc 3.09, 2 Si 3.34
Tc  0.2500  0.2500  0.2500  4 Si 2.46
Si  0.7500  0.7500  0.7500  4 Tc 2.46



iii.
Tl2SiTc | PBE | relaxed

a = 3.0691 Å, b = 3.0691 Å, c = 9.9489 Å
α = 90.00°, β = 90.00°, γ = 116.71°
Closest atoms and distances in Å follow each position.
Element x y z (fractional)
Tl  0.0000  0.0000  0.5136  2 Tc 2.85, 4 Tl 3.07, 2 Si 3.08
Tl  0.0000  0.0000  0.9864  2 Tc 2.85, 4 Tl 3.07, 2 Si 3.08
Tc  0.5000  0.5000  0.7500  4 Tl 2.85, 4 Tc 3.07
Si  0.5000  0.5000  0.2500  6 Si 3.07-3.22, 4 Tl 3.08



Most favorable first, least favorable last: i, ii, iii



i.
TlSiTc | PBE | relaxed

a = 5.4671 Å, b = 5.4671 Å, c = 3.2617 Å
α = 72.64°, β = 72.65°, γ = 34.71°
Closest atoms and distances in Å follow each position.
Element x y z (fractional)
Tc  0.3718  0.3718  0.6282  4 Si 2.47
Tl  0.6674  0.6674  0.3326  5 Si 2.91-3.09, 5 Tc 2.93-3.07
Si  0.9607  0.9607  0.0393  4 Tc 2.47



ii.
TlSiTc | PBE | relaxed

a = 5.2571 Å, b = 3.8577 Å, c = 5.8035 Å
α = 90.00°, β = 100.03°, γ = 90.00°
Closest atoms and distances in Å follow each position.
Element x y z (fractional)
Tl  0.1717  0.0000  0.2693  2 Si 2.90, 4 Tc 2.99
Tl  0.6715  0.5000  0.2669  2 Tc 2.79
Tc  0.9449  0.5000  0.8954  4 Si 2.43-2.45
Tc  0.4031  0.5000  0.6417  4 Si 2.43-2.45
Si  0.1744  0.0000  0.7692  4 Tc 2.45, 2 Si 2.63
Si  0.6745  0.0000  0.7673  4 Tc 2.43, 2 Si 2.63



Most favorable first, least favorable last: ii, i



i.
Tm2SiTc | PBE | relaxed

a = 3.1795 Å, b = 3.1795 Å, c = 9.8282 Å
α = 80.69°, β = 80.69°, γ = 60.00°
Closest atoms and distances in Å follow each position.
Element x y z (fractional)
Si  0.5000  0.5000  0.5000  6 Tm 2.87, 6 Si 3.18
Tc  0.0000  0.0000  0.0000  2 Tm 2.62
Tm  0.0904  0.0904  0.7289  1 Tc 2.62, 3 Si 2.87
Tm  0.9096  0.9096  0.2711  1 Tc 2.62, 3 Si 2.87



ii.
Tm2SiTc | PBE | relaxed

a = 4.7335 Å, b = 5.5107 Å, c = 8.3670 Å
α = 78.61°, β = 73.57°, γ = 64.57°
Closest atoms and distances in Å follow each position.
Element x y z (fractional)
Tm  0.8535  0.7698  0.5930  3 Tc 2.83-3.15, 2 Si 2.95-3.13
Tm  0.1465  0.2302  0.4071  3 Tc 2.83-3.15, 2 Si 2.95-3.13
Tm  0.2163  0.7302  0.9070  3 Tc 2.83-3.15, 2 Si 2.95-3.13
Tm  0.7837  0.2698  0.0930  3 Tc 2.83-3.15, 2 Si 2.95-3.13
Si  0.3386  0.2500  0.7500  2 Tc 2.37
Si  0.6614  0.7500  0.2500  2 Tc 2.37
Tc  0.1612  0.7500  0.2500  2 Si 2.37
Tc  0.8388  0.2500  0.7500  2 Si 2.37



Most favorable first, least favorable last: ii, i